Record 1
Here is a relaxed GdSiAg crystal from OQMD. Energies are from PBE.

## Properties
Its symmetry is P-62m, No. 189. As for the total energy: -40.6 eV per cell.

a = 7.681 Å, b = 7.681 Å, c = 3.865 Å
α = 90.00°, β = 90.00°, γ = 120.00°
Atoms (fractional coordinates):
Gd (0.000, 0.276, 0.000)
Gd (0.276, 0.000, 0.000)
Gd (0.724, 0.724, 0.000)
Si (0.000, 0.000, 0.500)
Si (0.333, 0.667, 0.000)
Si (0.667, 0.333, 0.000)
Ag (0.000, 0.617, 0.500)
Ag (0.383, 0.383, 0.500)
Ag (0.617, 0.000, 0.500)

***

Record 2
Here is a relaxed SmGdSi4Ag2 crystal from OQMD. Energies are from PBE.

## Properties
Its symmetry is Amm2, No. 38. As for the total energy: -81.4 eV per cell.

a = 4.192 Å, b = 4.155 Å, c = 17.545 Å
α = 90.00°, β = 90.00°, γ = 90.00°
Atoms (fractional coordinates):
Sm (0.000, 0.000, 0.000)
Sm (0.000, 0.500, 0.500)
Gd (0.500, 0.000, 0.191)
Gd (0.500, 0.500, 0.691)
Si (0.000, 0.000, 0.628)
Si (0.000, 0.000, 0.759)
Si (0.000, 0.500, 0.128)
Si (0.000, 0.500, 0.259)
Si (0.500, 0.000, 0.433)
Si (0.500, 0.000, 0.565)
Si (0.500, 0.500, 0.065)
Si (0.500, 0.500, 0.933)
Ag (0.000, 0.000, 0.344)
Ag (0.000, 0.500, 0.844)
Ag (0.500, 0.000, 0.846)
Ag (0.500, 0.500, 0.346)

***

Record 3
Here is a relaxed SmGdAg crystal from OQMD. Energies are from PBE.

## Properties
For the polymorph energy (0 for the lowest one), the calculation gives 0.000 eV/atom. Its symmetry is F-43m, No. 216.

a = 7.016 Å, b = 7.016 Å, c = 7.016 Å
α = 90.00°, β = 90.00°, γ = 90.00°
Atoms (fractional coordinates):
Sm (0.000, 0.000, 0.000)
Sm (0.000, 0.500, 0.500)
Sm (0.500, 0.000, 0.500)
Sm (0.500, 0.500, 0.000)
Gd (0.250, 0.250, 0.750)
Gd (0.250, 0.750, 0.250)
Gd (0.750, 0.250, 0.250)
Gd (0.750, 0.750, 0.750)
Ag (0.000, 0.000, 0.500)
Ag (0.000, 0.500, 0.000)
Ag (0.500, 0.000, 0.000)
Ag (0.500, 0.500, 0.500)

***

Record 4
Here is a relaxed SmGdAg2 crystal from OQMD. Energies are from PBE.

## Properties
Its symmetry is Amm2, No. 38. As for the total energy: -32.2 eV per cell.

a = 4.813 Å, b = 3.776 Å, c = 11.114 Å
α = 90.00°, β = 90.00°, γ = 90.00°
Atoms (fractional coordinates):
Sm (0.000, 0.000, 0.000)
Sm (0.000, 0.500, 0.500)
Gd (0.500, 0.000, 0.712)
Gd (0.500, 0.500, 0.212)
Ag (0.000, 0.000, 0.277)
Ag (0.000, 0.500, 0.777)
Ag (0.500, 0.000, 0.433)
Ag (0.500, 0.500, 0.933)

***

Record 5
Here is a relaxed SmGdAg4 crystal from OQMD. Energies are from PBE.

## Properties
Its symmetry is P4/mmm, No. 123. As for the total energy: -22.5 eV per cell.

a = 3.748 Å, b = 3.748 Å, c = 9.332 Å
α = 90.00°, β = 90.00°, γ = 90.00°
Atoms (fractional coordinates):
Sm (0.000, 0.000, 0.000)
Gd (0.500, 0.500, 0.500)
Ag (0.000, 0.000, 0.331)
Ag (0.000, 0.000, 0.669)
Ag (0.500, 0.500, 0.174)
Ag (0.500, 0.500, 0.826)

***

Record 6
Here is a relaxed SmGd2Ag4Sn4 crystal from OQMD. Energies are from PBE.

## Properties
Its symmetry is Immm, No. 71. As for the total energy: -47.1 eV per cell.

a = 8.826 Å, b = 8.826 Å, c = 8.826 Å
α = 149.87°, β = 130.57°, γ = 58.99°
Atoms (fractional coordinates):
Sm (0.000, 0.000, 0.000)
Gd (0.372, 0.872, 0.500)
Gd (0.628, 0.128, 0.500)
Ag (0.026, 0.329, 0.697)
Ag (0.368, 0.671, 0.697)
Ag (0.632, 0.329, 0.303)
Ag (0.974, 0.671, 0.303)
Sn (0.216, 0.216, 0.000)
Sn (0.305, 0.500, 0.805)
Sn (0.695, 0.500, 0.195)
Sn (0.784, 0.784, 0.000)

***

Record 7
Here is a relaxed GdAgSn crystal from OQMD. Energies are from PBE.

## Properties
Its symmetry is F-43m, No. 216. As for the total energy: -46.5 eV per cell.

a = 7.038 Å, b = 7.038 Å, c = 7.038 Å
α = 90.00°, β = 90.00°, γ = 90.00°
Atoms (fractional coordinates):
Gd (0.000, 0.000, 0.000)
Gd (0.000, 0.500, 0.500)
Gd (0.500, 0.000, 0.500)
Gd (0.500, 0.500, 0.000)
Ag (0.250, 0.250, 0.750)
Ag (0.250, 0.750, 0.250)
Ag (0.750, 0.250, 0.250)
Ag (0.750, 0.750, 0.750)
Sn (0.250, 0.250, 0.250)
Sn (0.250, 0.750, 0.750)
Sn (0.750, 0.250, 0.750)
Sn (0.750, 0.750, 0.250)

***

Record 8
Here is a relaxed GdAgSn crystal from OQMD. Energies are from PBE.

## Properties
Its symmetry is F-43m, No. 216. As for the total energy: -50.4 eV per cell.

a = 6.927 Å, b = 6.927 Å, c = 6.927 Å
α = 90.00°, β = 90.00°, γ = 90.00°
Atoms (fractional coordinates):
Gd (0.000, 0.000, 0.000)
Gd (0.000, 0.500, 0.500)
Gd (0.500, 0.000, 0.500)
Gd (0.500, 0.500, 0.000)
Ag (0.000, 0.000, 0.500)
Ag (0.000, 0.500, 0.000)
Ag (0.500, 0.000, 0.000)
Ag (0.500, 0.500, 0.500)
Sn (0.250, 0.250, 0.750)
Sn (0.250, 0.750, 0.250)
Sn (0.750, 0.250, 0.250)
Sn (0.750, 0.750, 0.750)

***

Record 9
Here is a relaxed TbGd2Ag4Sn4 crystal from OQMD. Energies are from PBE.

## Properties
Its symmetry is Immm, No. 71. As for the total energy: -46.9 eV per cell.

a = 8.818 Å, b = 8.818 Å, c = 8.818 Å
α = 149.83°, β = 130.64°, γ = 58.94°
Atoms (fractional coordinates):
Tb (0.000, 0.000, 0.000)
Gd (0.372, 0.872, 0.500)
Gd (0.628, 0.128, 0.500)
Ag (0.027, 0.329, 0.698)
Ag (0.369, 0.671, 0.698)
Ag (0.631, 0.329, 0.302)
Ag (0.973, 0.671, 0.302)
Sn (0.215, 0.215, 0.000)
Sn (0.304, 0.500, 0.804)
Sn (0.696, 0.500, 0.196)
Sn (0.785, 0.785, 0.000)

***

Record 10
Here is a relaxed Gd2YAg4Sn4 crystal from OQMD. Energies are from PBE.

## Properties
Its symmetry is Immm, No. 71. As for the total energy: -48.7 eV per cell.

a = 8.816 Å, b = 8.816 Å, c = 8.816 Å
α = 149.83°, β = 130.65°, γ = 58.94°
Atoms (fractional coordinates):
Gd (0.128, 0.128, 0.000)
Gd (0.872, 0.872, 0.000)
Y (0.500, 0.000, 0.500)
Ag (0.131, 0.329, 0.802)
Ag (0.473, 0.671, 0.802)
Ag (0.527, 0.329, 0.198)
Ag (0.869, 0.671, 0.198)
Sn (0.196, 0.500, 0.696)
Sn (0.285, 0.785, 0.500)
Sn (0.715, 0.215, 0.500)
Sn (0.804, 0.500, 0.304)

***

Record 11
Here is a relaxed GdYAg2Sn2 crystal from OQMD. Energies are from PBE.

## Properties
Its symmetry is P3m1, No. 156. As for the total energy: -28.5 eV per cell.

a = 4.748 Å, b = 4.748 Å, c = 7.358 Å
α = 90.00°, β = 90.00°, γ = 120.00°
Atoms (fractional coordinates):
Gd (0.000, 0.000, 0.000)
Y (0.000, 0.000, 0.500)
Ag (0.333, 0.667, 0.690)
Ag (0.667, 0.333, 0.192)
Sn (0.333, 0.667, 0.280)
Sn (0.667, 0.333, 0.779)

***

Record 12
Here is a relaxed GdY2Ag4Sn4 crystal from OQMD. Energies are from PBE.

## Properties
Its symmetry is Immm, No. 71. As for the total energy: -50.5 eV per cell.

a = 8.801 Å, b = 8.801 Å, c = 8.801 Å
α = 149.90°, β = 130.34°, γ = 59.17°
Atoms (fractional coordinates):
Gd (0.000, 0.000, 0.000)
Y (0.372, 0.872, 0.500)
Y (0.628, 0.128, 0.500)
Ag (0.027, 0.329, 0.698)
Ag (0.370, 0.671, 0.698)
Ag (0.630, 0.329, 0.302)
Ag (0.973, 0.671, 0.302)
Sn (0.215, 0.215, 0.000)
Sn (0.305, 0.500, 0.805)
Sn (0.695, 0.500, 0.195)
Sn (0.785, 0.785, 0.000)